K4NaAc3O8 | the Alexandria database | PBE-GGA | optimized geometry; density = 5184 kg/m³; formation energy without anion corrections = -2.12 eV per atom
1.0
6.621 -3.764 0.000
6.621 3.764 0.000
-4.308 0.000 6.353
K Na Ac O
4 1 3 8
Direct
0.000 0.000 0.000
0.000 0.500 0.000
0.500 0.000 0.000
0.500 0.500 0.000
0.000 0.000 0.500
0.000 0.500 0.500
0.500 0.000 0.500
0.500 0.500 0.500
0.245 0.245 0.703
0.250 0.715 0.701
0.263 0.263 0.294
0.285 0.750 0.299
0.715 0.250 0.701
0.737 0.737 0.706
0.750 0.285 0.299
0.755 0.755 0.297

=====

LaHoGePt | the Alexandria database | PBE-GGA | optimized geometry; density = 8456 kg/m³; offset from the most stable computed form = 75 meV/atom; formation energy from the elements = -0.809 eV/atom
1.0
4.671 0.000 0.000
0.000 4.671 0.000
0.000 0.000 10.289
La Ho Ge Pt
2 2 2 2
Direct
0.250 0.250 0.167
0.750 0.750 0.833
0.250 0.750 0.500
0.750 0.250 0.500
0.250 0.250 0.884
0.750 0.750 0.116
0.250 0.250 0.652
0.750 0.750 0.348

=====

> Among the records above, which one has the highest density?

LaHoGePt